No. 1
DFT (PBE-GGA) results for a relaxed Mg5Si6 crystal.

Output
Energy above the most stable polymorph in this dataset in meV per atom: 54

abc: 5.818 5.141 13.877
angles: 90.09 91.28 90.12
Fractional positions:
Mg  0.953  0.837  0.003
Mg  0.122  0.458  0.564
Mg  0.540  0.652  0.682
Mg  0.158  0.474  0.335
Mg  0.414  0.983  0.114
Mg  0.044  0.614  0.777
Mg  0.929  0.979  0.439
Mg  0.935  0.944  0.214
Mg  0.268  0.359  0.949
Mg  0.730  0.111  0.808
Si  0.788  0.315  0.026
Si  0.112  0.470  0.137
Si  0.735  0.491  0.441
Si  0.960  0.954  0.636
Si  0.335  0.870  0.897
Si  0.549  0.504  0.152
Si  0.318  0.981  0.336
Si  0.613  0.193  0.577
Si  0.666  0.590  0.883
Si  0.447  0.813  0.487
Si  0.629  0.259  0.296
Si  0.256  0.143  0.744

No. 2
DFT (PBE-GGA) results for a relaxed Tl5In2S6 crystal.

Output
VASP energy in eV/atom: -3.611

abc: 7.720 7.720 15.989
angles: 97.45 97.45 60.28
Fractional positions:
Tl  0.709  0.241  0.940
Tl  0.759  0.291  0.560
Tl  0.291  0.759  0.060
Tl  0.241  0.709  0.440
Tl  0.901  0.792  0.699
Tl  0.208  0.099  0.801
Tl  0.099  0.208  0.301
Tl  0.792  0.901  0.199
Tl  0.426  0.574  0.750
Tl  0.574  0.426  0.250
In  0.395  0.038  0.592
In  0.962  0.605  0.908
In  0.605  0.962  0.408
In  0.038  0.395  0.092
S  0.153  0.928  0.613
S  0.072  0.847  0.887
S  0.847  0.072  0.387
S  0.928  0.153  0.113
S  0.520  0.146  0.727
S  0.854  0.480  0.773
S  0.480  0.854  0.273
S  0.146  0.520  0.227
S  0.688  0.735  0.523
S  0.265  0.312  0.977
S  0.312  0.265  0.477
S  0.735  0.688  0.023

No. 3
DFT (PBE-GGA) results for a relaxed Na2LaBeV crystal.

Output
VASP energy in eV/atom: -2.937

abc: 5.325 4.482 5.325
angles: 90.00 90.00 90.00
Fractional positions:
Na  0.000  0.000  0.500
Na  0.500  0.000  0.000
V  0.000  0.000  0.000
Be  0.000  0.500  0.000
La  0.500  0.500  0.500

No. 4
DFT (PBE-GGA) results for a relaxed Rb2NaSn2 crystal.

Output
Energy above the most stable polymorph in this dataset in meV per atom: 41

abc: 8.811 8.811 5.759
angles: 90.00 90.00 90.00
Fractional positions:
Na  0.000  0.000  0.000
Na  0.500  0.500  0.000
Sn  0.390  0.890  0.000
Sn  0.890  0.610  0.000
Sn  0.610  0.110  0.000
Sn  0.110  0.390  0.000
Rb  0.182  0.682  0.500
Rb  0.682  0.818  0.500
Rb  0.818  0.318  0.500
Rb  0.318  0.182  0.500

No. 5
DFT (PBE-GGA) results for a relaxed Pr2NdBi crystal.

Output
Energy above the most stable polymorph in this dataset in meV per atom: 219

abc: 4.195 4.195 10.118
angles: 78.04 78.04 60.00
Fractional positions:
Pr  0.071  0.071  0.788
Pr  0.263  0.263  0.212
Nd  0.500  0.500  0.500
Bi  0.667  0.667  0.000

No. 6
DFT (PBE-GGA) results for a relaxed Sm3Ag3Bi4 crystal.

Output
VASP energy in eV/atom: -4.342

abc: 8.907 8.907 8.907
angles: 109.47 109.47 109.47
Fractional positions:
Sm  0.625  0.750  0.875
Sm  0.875  0.250  0.625
Sm  0.125  0.375  0.250
Sm  0.375  0.125  0.750
Sm  0.250  0.875  0.125
Sm  0.750  0.625  0.375
Ag  0.125  0.750  0.375
Ag  0.375  0.250  0.125
Ag  0.625  0.875  0.250
Ag  0.875  0.625  0.750
Ag  0.250  0.375  0.625
Ag  0.750  0.125  0.875
Bi  0.000  0.000  0.323
Bi  0.500  0.323  0.500
Bi  0.677  0.177  0.177
Bi  0.000  0.000  0.823
Bi  0.823  0.500  0.000
Bi  0.500  0.823  0.500
Bi  0.323  0.500  0.000
Bi  0.177  0.677  0.677

No. 7
DFT (PBE-GGA) results for a relaxed Zr2AlZn crystal.

Output
VASP energy in eV/atom: -5.730

abc: 3.102 3.102 7.986
angles: 90.00 90.00 89.98
Fractional positions:
Zn  0.500  0.500  0.725
Al  0.000  0.000  0.528
Zr  0.000  0.000  0.973
Zr  0.500  0.500  0.274

No. 8
DFT (PBE-GGA) results for a relaxed SrTa2Ag crystal.

Output
Energy above the most stable polymorph in this dataset in meV per atom: 387

abc: 6.224 6.224 6.224
angles: 151.48 125.24 62.90
Fractional positions:
Ag  0.474  0.474  0.000
Sr  0.745  0.245  0.500
Ta  0.038  0.038  0.000
Ta  0.243  0.743  0.500

No. 9
DFT (PBE-GGA) results for a relaxed Ca3RuS crystal.

Output
Energy above the most stable polymorph in this dataset in meV per atom: 0

abc: 5.235 5.235 5.235
angles: 90.00 90.00 90.00
Last column: magnetic moment on the atom in μB.
Fractional positions:
Ru  0.500  0.500  0.500  1.21
Ca  0.000  0.500  0.000  -0.08
Ca  0.000  0.000  0.500  -0.07
Ca  0.500  0.000  0.000  -0.07
S  0.000  0.000  0.000  -0.02

No. 10
DFT (PBE-GGA) results for a relaxed NaBe3Sb crystal.

Output
Energy above the most stable polymorph in this dataset in meV per atom: 513

abc: 4.538 4.538 4.538
angles: 90.00 90.00 90.00
Fractional positions:
Sb  0.500  0.500  0.500
Be  0.000  0.500  0.000
Be  0.000  0.000  0.500
Be  0.500  0.000  0.000
Na  0.000  0.000  0.000

No. 11
DFT (PBE-GGA) results for a relaxed NiTe6Au2 crystal.

Output
Energy above the most stable polymorph in this dataset in meV per atom: 6

abc: 6.467 8.770 8.770
angles: 84.13 81.55 81.55
Fractional positions:
Ni  0.250  0.088  0.912
Ni  0.750  0.912  0.088
Te  0.530  0.673  0.497
Te  0.970  0.503  0.327
Te  0.470  0.327  0.503
Te  0.030  0.497  0.673
Te  0.855  0.900  0.368
Te  0.645  0.632  0.100
Te  0.145  0.100  0.632
Te  0.355  0.368  0.900
Te  0.134  0.820  0.966
Te  0.366  0.034  0.180
Te  0.866  0.180  0.034
Te  0.634  0.966  0.820
Au  0.111  0.792  0.643
Au  0.389  0.357  0.208
Au  0.889  0.208  0.357
Au  0.611  0.643  0.792

No. 12
DFT (PBE-GGA) results for a relaxed ZnPRhSe crystal.

Output
Energy above the most stable polymorph in this dataset in meV per atom: 170

abc: 5.905 3.155 7.913
angles: 90.00 93.57 90.00
Fractional positions:
Zn  0.242  0.000  0.859
Zn  0.242  0.500  0.359
P  0.856  0.000  0.058
P  0.856  0.500  0.558
Rh  0.890  0.000  0.355
Rh  0.890  0.500  0.855
Se  0.471  0.000  0.152
Se  0.471  0.500  0.652